(1)
The following is a DFT calculation (PBE) of crystalline SiAu2I at its relaxed geometry.

Computed properties:
E (eV/f.u.): -13.10
Raw formation energy (eV per atom): 0.107
D(E_F) (states/eV per cell): 2.017
Density (Mg/m³): 8.4

```
SiAu2I
1.0
6.720 0.000 0.000
0.000 6.720 0.000
3.360 3.360 4.827
Au I Si
4 2 2
Direct
0.875 0.807 0.750
0.193 0.625 0.250
0.557 0.125 0.250
0.375 0.443 0.750
0.000 0.000 0.000
0.750 0.250 0.500
0.250 0.750 0.500
0.500 0.500 0.000
```

(2)
The following is a DFT calculation (PBE) of crystalline Tl2CdCu at its relaxed geometry.

Computed properties:
E (eV/f.u.): -8.92
ΔE_f (eV/atom): 0.21
D(E_F) (states/eV per cell): 1.237
Density (Mg/m³): 10.1

```
Tl2CdCu
1.0
3.502 0.000 0.000
0.000 3.333 0.000
0.000 0.000 8.229
Cu Cd Tl
1 1 2
Direct
0.500 0.500 0.750
0.500 0.500 0.250
0.000 0.000 0.962
0.000 0.000 0.538
```

(3)
The following is a DFT calculation (PBE) of crystalline Na2P2Au at its relaxed geometry.

Computed properties:
E (eV/f.u.): -18.31
ΔE_f (eV/atom): -0.32
D(E_F) (states/eV per cell): 2.351
Density (Mg/m³): 5.2

```
Na2P2Au
1.0
-2.505 -5.915 0.822
-0.110 -0.845 -6.420
4.298 -1.797 0.163
Au Na P
2 4 4
Direct
0.000 0.000 0.000
0.500 0.500 0.000
0.178 0.678 0.500
0.822 0.322 0.500
0.322 0.178 0.500
0.678 0.822 0.500
0.378 0.878 0.000
0.878 0.622 0.000
0.122 0.378 0.000
0.622 0.122 0.000
```

(4)
The following is a DFT calculation (PBE) of crystalline CdTePtO6 at its relaxed geometry.

Computed properties:
E (eV/f.u.): -47.93
Raw formation energy (eV per atom): -0.898
Density (Mg/m³): 7.5

```
CdTePtO6
1.0
5.278 0.000 0.000
-2.639 4.571 0.000
0.000 0.000 9.802
Cd O Te Pt
2 12 2 2
Direct
0.000 0.000 0.500
0.000 0.000 0.000
0.633 0.641 0.639
0.992 0.359 0.139
0.367 0.008 0.139
0.633 0.992 0.861
0.359 0.992 0.639
0.359 0.367 0.861
0.641 0.633 0.139
0.641 0.008 0.361
0.008 0.641 0.861
0.008 0.367 0.639
0.367 0.359 0.361
0.992 0.633 0.361
0.667 0.333 0.250
0.333 0.667 0.750
0.667 0.333 0.750
0.333 0.667 0.250
```

In Bohr magnetons per cell, the magnetization values for the records above are, in order, 0.00; 0.00; 0.00; 0.00.